[1]
{
  "formula": "TbPa2PN5",
  "functional": "PBE",
  "state": "optimized geometry",
  "lattice_angstrom": [[-3.1578, 4.0498, -1.6029], [-2.9948, -0.0112, 5.8719], [4.4169, 4.3389, 2.2610]],
  "species": ["N", "Tb", "Pa", "P", "Tb", "N", "Pa", "P", "N", "N", "N", "Pa", "N", "N", "N", "N", "Pa", "N"],
  "frac_coords": [[0.7651, 0.1389, 0.6389], [0.0000, 0.5000, 0.5000], [0.5000, 0.1756, 0.3244], [0.0000, 0.0000, 0.5000], [0.0000, 0.0000, 0.0000], [0.7651, 0.8611, 0.3611], [0.5000, 0.6756, 0.1756], [0.0000, 0.5000, 0.0000], [0.5000, 0.5000, 0.5000], [0.2349, 0.8611, 0.3611], [0.7651, 0.3611, 0.1389], [0.5000, 0.3244, 0.8244], [0.2349, 0.3611, 0.1389], [0.7651, 0.6389, 0.8611], [0.2349, 0.1389, 0.6389], [0.5000, 0.0000, 0.0000], [0.5000, 0.8244, 0.6756], [0.2349, 0.6389, 0.8611]],
  "rho_g_cm3": 10.26,
  "magnetic_moment_mub_per_cell": 0.0,
  "energy_ry_per_atom": -0.65653,
  "formation_energy_uncorrected_ev_per_atom": -1.082,
  "spacegroup": "P4/mbm"
}

[2]
{
  "formula": "Pm3Sm6Sc2",
  "functional": "PBE",
  "state": "optimized geometry",
  "lattice_angstrom": [[-3.2886, 0.6145, 1.2711], [-1.0599, -1.5513, 3.0460], [9.5942, 24.6003, 17.9690]],
  "species": ["Sm", "Sm", "Sc", "Pm", "Sm", "Sm", "Sm", "Sc", "Pm", "Sm", "Pm"],
  "frac_coords": [[0.0940, 0.0940, 0.7180], [0.3646, 0.3646, 0.9061], [0.5443, 0.5443, 0.3672], [0.2709, 0.2709, 0.1874], [0.1825, 0.1825, 0.4525], [0.9060, 0.9060, 0.2820], [0.6354, 0.6354, 0.0939], [0.4557, 0.4557, 0.6328], [0.7291, 0.7291, 0.8126], [0.8175, 0.8175, 0.5475], [0.0000, 0.0000, 0.0000]],
  "rho_g_cm3": 6.70,
  "magnetic_moment_mub_per_cell": 0.0,
  "energy_ry_per_atom": -0.36604,
  "spacegroup": "R-3m",
  "e_form_mev_per_atom": 40.6
}